Entry from the Alexandria database: a geometry-optimized LiPdBr structure (PBE).

abc: 5.918 3.639 5.815
angles: 90.00 80.80 90.00
Fractional positions:
Br: 0.316 0.250 0.315
Br: 0.684 0.750 0.685
Pd: 0.896 0.250 0.892
Pd: 0.104 0.750 0.108
Li: 0.789 0.250 0.347
Li: 0.211 0.750 0.653

Results
* formation energy from raw total energies: -59.4 kJ per mole of atoms
* space-group type: P2_1/m (11)
* uncorrected energy: -21.25 eV per cell